A geometry-optimized Rb4DyHo3Te8 structure. Source: Alexandria via LeMat-Bulk, functional GGA-PBE.

Calculated values
**Formation energy (no corrections)**: -1378 meV per atom

Unit cell a=9.0287 b=10.0168 c=9.0293 alpha=116.81 beta=120.00 gamma=90.00
Fractional positions:
Rb (0.5000, 0.0000, 0.5000)
Te (0.2334, 0.6987, 0.4668)
Rb (0.0000, 0.0000, 0.5000)
Rb (0.0000, 0.0000, 0.0000)
Te (0.7328, 0.6983, 0.4657)
Te (0.7666, 0.3013, 0.5332)
Te (0.7321, 0.6987, 0.9655)
Dy (0.0000, 0.5000, 0.0000)
Te (0.2672, 0.3017, 0.5343)
Ho (0.5000, 0.5000, 0.0000)
Ho (0.0000, 0.5000, 0.5000)
Rb (0.5000, 0.0000, 0.0000)
Ho (0.5000, 0.5000, 0.5000)
Te (0.2679, 0.3013, 0.0345)
Te (0.7666, 0.3013, 0.0345)
Te (0.2334, 0.6987, 0.9655)

---

A geometry-optimized Sr2PrDySe4 structure. Source: Alexandria via LeMat-Bulk, functional GGA-PBE.

Calculated values
**Formation energy (no corrections)**: -1897 meV per atom

Unit cell a=4.2569 b=7.3815 c=7.5368 alpha=108.99 beta=90.00 gamma=90.00
Fractional positions:
Se (0.5000, 0.2368, 0.2338)
Sr (0.5000, 0.0000, 0.5000)
Se (0.0000, 0.7550, 0.2395)
Se (0.0000, 0.2450, 0.7605)
Sr (0.0000, 0.5000, 0.5000)
Pr (0.5000, 0.5000, 0.0000)
Dy (0.0000, 0.0000, 0.0000)
Se (0.5000, 0.7632, 0.7662)

---

A geometry-optimized Sm8Te4PS3 structure. Source: Alexandria via LeMat-Bulk, functional GGA-PBE.

Calculated values
**Formation energy (no corrections)**: -1693 meV per atom

Unit cell a=8.3616 b=8.6142 c=8.3615 alpha=119.04 beta=120.00 gamma=90.00
Fractional positions:
S (0.5000, 0.5000, 0.0000)
Sm (0.7656, 0.2930, 0.5312)
Sm (0.2344, 0.7070, 0.4688)
S (0.0000, 0.5000, 0.5000)
Te (0.0000, 0.0000, 0.0000)
Sm (0.2646, 0.2939, 0.5293)
Sm (0.7354, 0.7061, 0.4707)
Te (0.5000, 0.0000, 0.0000)
P (0.0000, 0.5000, 0.0000)
Sm (0.7382, 0.7070, 0.9726)
Sm (0.2344, 0.7070, 0.9726)
Sm (0.2618, 0.2930, 0.0274)
Sm (0.7656, 0.2930, 0.0274)
Te (0.5000, 0.0000, 0.5000)
Te (0.0000, 0.0000, 0.5000)
S (0.5000, 0.5000, 0.5000)

---

A geometry-optimized Pr2GePdPt6 structure. Source: Alexandria via LeMat-Bulk, functional GGA-PBE.

Calculated values
**Formation energy from the elements**: -7.24 eV per formula unit

Unit cell a=5.4258 b=8.7411 c=6.5749 alpha=51.20 beta=65.63 gamma=89.99
Fractional positions:
Pt (0.2573, 0.7471, 0.9773)
Pt (0.7653, 0.7466, 0.9781)
Pt (0.2347, 0.2534, 0.0219)
Ge (0.5000, 0.5000, 0.0000)
Pt (0.2492, 0.4108, 0.5004)
Pr (0.7310, 0.1967, 0.5379)
Pt (0.7508, 0.5892, 0.4996)
Pt (0.7427, 0.2529, 0.0227)
Pr (0.2690, 0.8033, 0.4621)
Pd (0.0000, 0.0000, 0.0000)

---

A geometry-optimized Bi2PdAu2 structure. Source: Alexandria via LeMat-Bulk, functional GGA-PBE.

Calculated values
**Offset from the most stable computed form**: 103 meV/atom
**Formation energy from the elements**: -0.10 eV per formula unit

Unit cell a=7.3773 b=7.3773 c=4.2122 alpha=90.00 beta=90.00 gamma=90.00
Fractional positions:
Bi (0.6732, 0.8268, 0.5000)
Pd (0.0000, 0.0000, 0.0000)
Au (0.6363, 0.1363, 0.0000)
Au (0.1363, 0.3637, 0.0000)
Bi (0.8268, 0.3268, 0.5000)
Pd (0.5000, 0.5000, 0.0000)
Au (0.8637, 0.6363, 0.0000)
Au (0.3637, 0.8637, 0.0000)
Bi (0.3268, 0.1732, 0.5000)
Bi (0.1732, 0.6732, 0.5000)

---

A geometry-optimized Rb2PuBr2F4 structure. Source: Alexandria via LeMat-Bulk, functional GGA-PBE.

Calculated values
**Formation energy (no corrections)**: -2639 meV per atom

Unit cell a=7.0894 b=7.0894 c=7.0894 alpha=91.00 beta=119.42 gamma=119.42
Fractional positions:
Rb (0.5000, 0.7500, 0.2500)
Rb (0.5000, 0.2500, 0.7500)
Pu (0.0000, 0.0000, 0.0000)
F (0.0000, 0.2093, 0.7907)
Br (0.0000, 0.7158, 0.7158)
Br (0.0000, 0.2842, 0.2842)
F (0.0000, 0.7907, 0.2093)
F (0.5814, 0.7907, 0.7907)
F (0.4186, 0.2093, 0.2093)

---

A geometry-optimized Mg8InSn4 structure. Source: Alexandria via LeMat-Bulk, functional GGA-PBE.

Calculated values
**Formation energy from the elements**: -1.66 eV per formula unit

Unit cell a=6.9623 b=6.9623 c=6.9622 alpha=90.00 beta=90.00 gamma=90.00
Fractional positions:
Mg (0.7544, 0.7544, 0.2456)
Mg (0.2456, 0.7544, 0.2456)
Mg (0.7544, 0.2456, 0.7544)
Mg (0.2456, 0.2456, 0.7544)
Mg (0.2456, 0.7544, 0.7544)
Mg (0.2456, 0.2456, 0.2456)
Sn (0.0000, 0.5000, 0.5000)
In (0.5000, 0.5000, 0.5000)
Mg (0.7544, 0.7544, 0.7544)
Sn (0.0000, 0.0000, 0.0000)
Sn (0.5000, 0.0000, 0.5000)
Sn (0.5000, 0.5000, 0.0000)
Mg (0.7544, 0.2456, 0.2456)

---

A geometry-optimized KMnZnCl6 structure. Source: Alexandria via LeMat-Bulk, functional GGA-PBE.

Calculated values
**Formation energy (no corrections)**: -1221 meV per atom

Unit cell a=6.3805 b=6.3805 c=13.9939 alpha=90.00 beta=90.00 gamma=120.00
Fractional positions:
Cl (0.9904, 0.6204, 0.3493)
Cl (0.3796, 0.3700, 0.3493)
Cl (0.6204, 0.6300, 0.6507)
Cl (0.3700, 0.9904, 0.6507)
Cl (0.9904, 0.3700, 0.1507)
Mn (0.6667, 0.3333, 0.2500)
Cl (0.3796, 0.0096, 0.1507)
Mn (0.3333, 0.6667, 0.7500)
Zn (0.6667, 0.3333, 0.7500)
Cl (0.6300, 0.0096, 0.3493)
Cl (0.0096, 0.6300, 0.8493)
K (0.0000, 0.0000, 0.0000)
K (0.0000, 0.0000, 0.5000)
Cl (0.0096, 0.3796, 0.6507)
Cl (0.6300, 0.6204, 0.1507)
Cl (0.6204, 0.9904, 0.8493)
Zn (0.3333, 0.6667, 0.2500)
Cl (0.3700, 0.3796, 0.8493)

---

A geometry-optimized PmPaH2 structure. Source: Alexandria via LeMat-Bulk, functional GGA-PBE.

Calculated values
**Uncorrected energy**: -5.44 eV/atom

Unit cell a=3.4711 b=3.4711 c=6.2556 alpha=73.89 beta=73.89 gamma=60.00
Fractional positions:
H (0.7455, 0.7455, 0.7634)
H (0.2545, 0.2545, 0.2366)
Pa (0.0000, 0.0000, 0.0000)
Pm (0.5000, 0.5000, 0.5000)

---

A geometry-optimized HoTi2Cr structure. Source: Alexandria via LeMat-Bulk, functional GGA-PBE.

Calculated values
**Formation energy from the elements**: 0.62 eV per formula unit

Unit cell a=3.1349 b=3.1349 c=7.5754 alpha=90.00 beta=90.00 gamma=90.00
Fractional positions:
Ti (0.0000, 0.0000, 0.8184)
Ti (0.0000, 0.0000, 0.1816)
Cr (0.5000, 0.5000, 0.0000)
Ho (0.5000, 0.5000, 0.5000)

---

A geometry-optimized CePr3Ir8 structure. Source: Alexandria via LeMat-Bulk, functional GGA-PBE.

Calculated values
**Formation energy from the elements**: -8.28 eV per formula unit

Unit cell a=5.4482 b=5.4482 c=9.4252 alpha=73.20 beta=73.20 gamma=60.00
Fractional positions:
Pr (0.4998, 0.4998, 0.5005)
Ir (0.9346, 0.4375, 0.1903)
Ir (0.6875, 0.6875, 0.9375)
Ir (0.1875, 0.1875, 0.4375)
Ir (0.4375, 0.4375, 0.1903)
Ce (0.8750, 0.8750, 0.3749)
Ir (0.4375, 0.9346, 0.1903)
Ir (0.9375, 0.4406, 0.6845)
Ir (0.9375, 0.9375, 0.6845)
Pr (0.3748, 0.3748, 0.8755)
Pr (0.0001, 0.0001, 0.9997)
Ir (0.4406, 0.9375, 0.6845)

---

A geometry-optimized Pu2Be3Ge4Pt structure. Source: Alexandria via LeMat-Bulk, functional GGA-PBE.

Calculated values
**Formation energy from the elements**: -3.58 eV per formula unit

Unit cell a=4.0757 b=4.0757 c=9.8654 alpha=90.00 beta=90.00 gamma=90.00
Fractional positions:
Ge (0.5000, 0.5000, 0.0000)
Pu (0.0000, 0.5000, 0.7596)
Ge (0.5000, 0.0000, 0.6461)
Pt (0.5000, 0.5000, 0.5000)
Ge (0.0000, 0.0000, 0.0000)
Be (0.0000, 0.5000, 0.1261)
Ge (0.0000, 0.5000, 0.3539)
Be (0.5000, 0.0000, 0.8739)
Pu (0.5000, 0.0000, 0.2404)
Be (0.0000, 0.0000, 0.5000)

---

A geometry-optimized RbCa3Cl structure. Source: Alexandria via LeMat-Bulk, functional GGA-PBE.

Calculated values
**Offset from the most stable computed form**: 0 meV/atom
**Formation energy (no corrections)**: -333 meV per atom

Unit cell a=6.0660 b=6.0660 c=6.0660 alpha=90.00 beta=90.00 gamma=90.00
Fractional positions:
Rb (0.5000, 0.5000, 0.5000)
Ca (0.5000, 0.0000, 0.0000)
Cl (0.0000, 0.0000, 0.0000)
Ca (0.0000, 0.0000, 0.5000)
Ca (0.0000, 0.5000, 0.0000)

---

A geometry-optimized BeHAuS2 structure. Source: Alexandria via LeMat-Bulk, functional GGA-PBE.

Calculated values
**Uncorrected energy**: -3.49 eV/atom

Unit cell a=4.7348 b=2.9016 c=4.7348 alpha=90.00 beta=90.00 gamma=90.00
Fractional positions:
S (0.0000, 0.0000, 0.5000)
H (0.0000, 0.5000, 0.0000)
Be (0.0000, 0.0000, 0.0000)
Au (0.5000, 0.5000, 0.5000)
S (0.5000, 0.0000, 0.0000)

---

A geometry-optimized SmZrRuRh structure. Source: Alexandria via LeMat-Bulk, functional GGA-PBE.

Calculated values
**Formation energy from the elements**: -2.10 eV per formula unit

Unit cell a=4.7850 b=4.7850 c=4.7850 alpha=60.00 beta=60.00 gamma=60.00
Fractional positions:
Rh (0.7500, 0.7500, 0.7500)
Sm (0.5000, 0.5000, 0.5000)
Ru (0.2500, 0.2500, 0.2500)
Zr (0.0000, 0.0000, 0.0000)

---

A geometry-optimized BaAcSi2O6 structure. Source: Alexandria via LeMat-Bulk, functional GGA-PBE.

Calculated values
**Formation energy (no corrections)**: -2726 meV per atom

Unit cell a=6.9700 b=6.9700 c=7.8551 alpha=101.12 beta=101.12 gamma=110.80
Fractional positions:
O (0.6527, 0.0852, 0.3666)
Si (0.0797, 0.2646, 0.2423)
Si (0.9203, 0.7354, 0.7577)
O (0.1382, 0.2067, 0.6519)
O (0.2643, 0.4700, 0.4049)
O (0.3473, 0.9148, 0.6334)
O (0.5300, 0.7357, 0.0951)
Si (0.7354, 0.9203, 0.2577)
O (0.4700, 0.2643, 0.9049)
Ba (0.7901, 0.2099, 0.7500)
O (0.7357, 0.5300, 0.5951)
Si (0.2646, 0.0797, 0.7423)
Ac (0.3976, 0.6024, 0.7500)
Ba (0.2099, 0.7901, 0.2500)
Ac (0.6024, 0.3976, 0.2500)
O (0.7933, 0.8618, 0.8481)
O (0.0852, 0.6527, 0.8666)
O (0.9148, 0.3473, 0.1334)
O (0.8618, 0.7933, 0.3481)
O (0.2067, 0.1382, 0.1519)

---

A geometry-optimized CsSr2Ag structure. Source: Alexandria via LeMat-Bulk, functional GGA-PBE.

Calculated values
**Offset from the most stable computed form**: 175 meV/atom
**Formation energy from the elements**: 0.44 eV per formula unit

Unit cell a=10.6574 b=10.6574 c=8.4890 alpha=51.12 beta=51.12 gamma=90.00
Fractional positions:
Ag (0.2500, 0.7500, 0.5000)
Sr (0.5188, 0.1250, 0.2500)
Sr (0.2312, 0.6250, 0.2500)
Ag (0.5000, 0.5000, 0.0000)
Sr (0.8750, 0.7688, 0.7500)
Sr (0.3750, 0.4812, 0.7500)
Cs (0.7500, 0.2500, 0.5000)
Cs (0.0000, 0.0000, 0.0000)

---

A geometry-optimized MnRe3 structure. Source: Alexandria via LeMat-Bulk, functional GGA-PBE.

Calculated values
**Formation energy from the elements**: 0.57 eV per formula unit

Unit cell a=5.2322 b=8.4847 c=5.1329 alpha=90.00 beta=90.00 gamma=90.00
Fractional positions:
Mn (0.5601, 0.7500, 0.9356)
Re (0.1731, 0.0179, 0.2970)
Mn (0.4399, 0.2500, 0.0644)
Re (0.1731, 0.4821, 0.2970)
Mn (0.0601, 0.7500, 0.5644)
Re (0.5257, 0.7500, 0.4279)
Re (0.6731, 0.0179, 0.2030)
Re (0.8269, 0.5179, 0.7030)
Mn (0.9399, 0.2500, 0.4356)
Re (0.4743, 0.2500, 0.5721)
Re (0.8269, 0.9821, 0.7030)
Re (0.0257, 0.7500, 0.0721)
Re (0.3269, 0.9821, 0.7970)
Re (0.3269, 0.5179, 0.7970)
Re (0.6731, 0.4821, 0.2030)
Re (0.9743, 0.2500, 0.9279)

---

A geometry-optimized CaBi3Pb3 structure. Source: Alexandria via LeMat-Bulk, functional GGA-PBE.

Calculated values
**Formation energy from the elements**: -1.01 eV per formula unit

Unit cell a=7.0827 b=7.0827 c=9.4818 alpha=90.00 beta=90.00 gamma=88.61
Fractional positions:
Bi (0.0000, 0.5000, 0.2480)
Pb (0.2437, 0.2437, 0.5000)
Bi (0.0000, 0.0000, 0.7546)
Bi (0.5000, 0.0000, 0.2480)
Pb (0.2675, 0.7325, 0.5000)
Pb (0.7325, 0.2675, 0.5000)
Ca (0.7443, 0.7443, 0.0000)
Bi (0.0000, 0.0000, 0.2454)
Bi (0.0000, 0.5000, 0.7520)
Bi (0.5000, 0.0000, 0.7520)
Pb (0.7563, 0.7563, 0.5000)
Pb (0.2573, 0.7427, 0.0000)
Pb (0.7427, 0.2573, 0.0000)
Ca (0.2557, 0.2557, 0.0000)

---

A geometry-optimized Al3TcIr structure. Source: Alexandria via LeMat-Bulk, functional GGA-PBE.

Calculated values
**Offset from the most stable computed form**: 0 meV/atom
**Formation energy from the elements**: 2.30 eV per formula unit

Unit cell a=4.6654 b=4.6654 c=4.6654 alpha=90.00 beta=90.00 gamma=90.00
Fractional positions:
Ir (0.0000, 0.0000, 0.0000)
Al (0.5000, 0.0000, 0.0000)
Al (0.0000, 0.0000, 0.5000)
Tc (0.5000, 0.5000, 0.5000)
Al (0.0000, 0.5000, 0.0000)

---

Number 1: ρ 5.556 g/cm³. Number 2: ρ 5.891 g/cm³. Number 3: ρ 7.075 g/cm³. Number 4: ρ 13.137 g/cm³. Number 5: ρ 13.304 g/cm³. Number 6: ρ 4.253 g/cm³. Number 7: ρ 3.858 g/cm³. Number 8: ρ 2.505 g/cm³. Number 9: ρ 10.152 g/cm³. Number 10: ρ 6.974 g/cm³. Number 11: ρ 15.272 g/cm³. Number 12: ρ 10.140 g/cm³. Number 13: ρ 1.794 g/cm³. Number 14: ρ 6.921 g/cm³. Number 15: ρ 9.551 g/cm³. Number 16: ρ 5.112 g/cm³. Number 17: ρ 3.113 g/cm³. Number 18: ρ 17.885 g/cm³. Number 19: ρ 9.000 g/cm³. Number 20: ρ 6.069 g/cm³.